a | # CrCuN2F

An optimized crystal structure of CrCuN2F (GGA+U, the Alexandria database).

a b c (Å): 3.795 3.795 3.891
angles (deg): 90.00 90.00 90.00
Last column: magnetic moment on the atom in μB.
Fractional coordinates of all 5 atoms:
1 Cr 0.000 0.000 0.000  2.21
2 N 0.000 0.500 0.000  -0.61
3 N 0.500 0.000 0.000  -0.61
4 Cu 0.500 0.500 0.500  -0.21
5 F 0.000 0.000 0.500  0.00

Output
symmetry	P4/mmm (123)
density	4.82	g/cm3

b | # CrCuN2F

An optimized crystal structure of CrCuN2F (GGA+U, the Alexandria database).

a b c (Å): 3.755 3.755 3.972
angles (deg): 90.00 90.00 90.00
Last column: magnetic moment on the atom in μB.
Fractional coordinates of all 5 atoms:
1 Cr 0.500 0.500 0.500  4.01
2 N 0.000 0.500 0.000  -0.65
3 N 0.500 0.000 0.000  -0.65
4 Cu 0.000 0.000 0.000  -0.26
5 F 0.000 0.000 0.500  -0.06

Output
symmetry	P4/mmm (123)
density	4.82	g/cm3

It is b that is the least stable of them.